Run one
Entry from Alexandria: crystalline CaHf3Zn at its relaxed geometry (PBE).

Cell lengths 5.082, 5.082, 5.082 Å; angles 90.00, 90.00, 90.00 degrees
Fractional coordinates of all 5 atoms:
Ca 0.000 0.000 0.000
Hf 0.000 0.500 0.500
Hf 0.500 0.000 0.500
Hf 0.500 0.500 0.000
Zn 0.500 0.500 0.500

Calculated values
Crystal system: cubic
Space group: Pm-3m

Run two
Entry from Alexandria: crystalline CaHf3Zn at its relaxed geometry (PBE).

Cell lengths 5.023, 5.023, 5.023 Å; angles 90.00, 90.00, 90.00 degrees
Fractional coordinates of all 5 atoms:
Ca 0.000 0.000 0.000
Hf 0.000 0.000 0.500
Hf 0.000 0.500 0.000
Hf 0.500 0.000 0.000
Zn 0.500 0.500 0.500

Calculated values
Crystal system: cubic
Space group: Pm-3m

Stability, highest: run one

Run one
Entry from Alexandria: crystalline CaHg7 at its relaxed geometry (PBE).

Cell lengths 6.696, 6.696, 6.696 Å; angles 60.00, 60.00, 60.00 degrees
Fractional coordinates of all 8 atoms:
Ca 0.000 0.000 0.000
Hg 0.000 0.000 0.500
Hg 0.000 0.500 0.000
Hg 0.000 0.500 0.500
Hg 0.500 0.000 0.000
Hg 0.500 0.000 0.500
Hg 0.500 0.500 0.000
Hg 0.500 0.500 0.500

Calculated values
Crystal system: cubic
Space group: Fm-3m

Run two
Entry from Alexandria: crystalline CaHg7 at its relaxed geometry (PBE).

Cell lengths 4.771, 4.771, 18.321 Å; angles 90.00, 90.00, 90.00 degrees
Fractional coordinates of all 16 atoms:
Ca 0.000 0.000 0.000
Ca 0.500 0.500 0.500
Hg 0.000 0.000 0.248
Hg 0.000 0.000 0.500
Hg 0.000 0.000 0.752
Hg 0.000 0.500 0.125
Hg 0.000 0.500 0.375
Hg 0.000 0.500 0.625
Hg 0.000 0.500 0.875
Hg 0.500 0.000 0.125
Hg 0.500 0.000 0.375
Hg 0.500 0.000 0.625
Hg 0.500 0.000 0.875
Hg 0.500 0.500 0.000
Hg 0.500 0.500 0.252
Hg 0.500 0.500 0.748

Calculated values
Crystal system: tetragonal
Space group: I4/mmm

Stability, highest: run two

Run one
Entry from Alexandria: crystalline Ca3Hg at its relaxed geometry (PBE).

Cell lengths 6.456, 6.456, 6.456 Å; angles 90.00, 90.00, 90.00 degrees
Fractional coordinates of all 8 atoms:
Ca 0.000 0.250 0.500
Ca 0.000 0.750 0.500
Ca 0.250 0.500 0.000
Ca 0.500 0.000 0.250
Ca 0.500 0.000 0.750
Ca 0.750 0.500 0.000
Hg 0.000 0.000 0.000
Hg 0.500 0.500 0.500

Calculated values
Crystal system: cubic
Space group: Pm-3n

Run two
Entry from Alexandria: crystalline Ca3Hg at its relaxed geometry (PBE).

Cell lengths 3.980, 3.980, 10.746 Å; angles 90.00, 90.00, 120.00 degrees
Fractional coordinates of all 4 atoms:
Ca 0.000 0.000 0.000
Ca 0.333 0.667 0.297
Ca 0.333 0.667 0.703
Hg 0.000 0.000 0.500

Calculated values
Crystal system: hexagonal
Space group: P-6m2

Run three
Entry from Alexandria: crystalline Ca3Hg at its relaxed geometry (PBE).

Cell lengths 3.785, 3.949, 10.127 Å; angles 90.00, 90.00, 90.00 degrees
Fractional coordinates of all 4 atoms:
Ca 0.000 0.000 0.000
Ca 0.000 0.500 0.328
Ca 0.500 0.500 0.716
Hg 0.500 0.000 0.476

Calculated values
Crystal system: orthorhombic
Space group: Pmm2

Run four
Entry from Alexandria: crystalline Ca3Hg at its relaxed geometry (PBE).

Cell lengths 5.087, 5.087, 5.087 Å; angles 90.00, 90.00, 90.00 degrees
Fractional coordinates of all 4 atoms:
Ca 0.000 0.000 0.500
Ca 0.000 0.500 0.000
Ca 0.500 0.000 0.000
Hg 0.500 0.500 0.500

Calculated values
Crystal system: cubic
Space group: Pm-3m

Stability, highest: run two

Run one
Entry from Alexandria: crystalline Ca3Hg at its relaxed geometry (PBE).

Cell lengths 7.236, 7.236, 5.735 Å; angles 90.00, 90.00, 120.00 degrees
Fractional coordinates of all 8 atoms:
Ca 0.173 0.345 0.250
Ca 0.173 0.827 0.250
Ca 0.345 0.173 0.750
Ca 0.655 0.827 0.250
Ca 0.827 0.173 0.750
Ca 0.827 0.655 0.750
Hg 0.333 0.667 0.750
Hg 0.667 0.333 0.250

Calculated values
Crystal system: hexagonal
Space group: P6_3/mmc

Run two
Entry from Alexandria: crystalline Ca3Hg at its relaxed geometry (PBE).

Cell lengths 7.979, 7.979, 7.979 Å; angles 90.00, 90.00, 90.00 degrees
Fractional coordinates of all 16 atoms:
Ca 0.000 0.000 0.000
Ca 0.000 0.500 0.500
Ca 0.250 0.250 0.250
Ca 0.250 0.250 0.750
Ca 0.250 0.750 0.250
Ca 0.250 0.750 0.750
Ca 0.500 0.000 0.500
Ca 0.500 0.500 0.000
Ca 0.750 0.250 0.250
Ca 0.750 0.250 0.750
Ca 0.750 0.750 0.250
Ca 0.750 0.750 0.750
Hg 0.000 0.000 0.500
Hg 0.000 0.500 0.000
Hg 0.500 0.000 0.000
Hg 0.500 0.500 0.500

Calculated values
Crystal system: cubic
Space group: Fm-3m

Run three
Entry from Alexandria: crystalline Ca3Hg at its relaxed geometry (PBE).

Cell lengths 4.993, 4.993, 10.679 Å; angles 90.00, 90.00, 90.00 degrees
Fractional coordinates of all 8 atoms:
Ca 0.000 0.000 0.000
Ca 0.000 0.500 0.250
Ca 0.000 0.500 0.750
Ca 0.500 0.000 0.250
Ca 0.500 0.000 0.750
Ca 0.500 0.500 0.500
Hg 0.000 0.000 0.500
Hg 0.500 0.500 0.000

Calculated values
Crystal system: tetragonal
Space group: I4/mmm

Run four
Entry from Alexandria: crystalline Ca3Hg at its relaxed geometry (PBE).

Cell lengths 9.981, 12.814, 4.478 Å; angles 90.00, 90.00, 90.00 degrees
Fractional coordinates of all 16 atoms:
Ca 0.000 0.113 0.250
Ca 0.000 0.887 0.750
Ca 0.197 0.374 0.250
Ca 0.197 0.626 0.750
Ca 0.303 0.126 0.750
Ca 0.303 0.874 0.250
Ca 0.500 0.387 0.750
Ca 0.500 0.613 0.250
Ca 0.697 0.126 0.750
Ca 0.697 0.874 0.250
Ca 0.803 0.374 0.250
Ca 0.803 0.626 0.750
Hg 0.000 0.282 0.750
Hg 0.000 0.718 0.250
Hg 0.500 0.218 0.250
Hg 0.500 0.782 0.750

Calculated values
Crystal system: orthorhombic
Space group: Cmcm

Stability, highest: run four

Run one
Entry from Alexandria: crystalline Ca5Hg at its relaxed geometry (PBE).

Cell lengths 5.816, 4.374, 16.948 Å; angles 90.00, 90.00, 90.00 degrees
Fractional coordinates of all 12 atoms:
Ca 0.000 0.000 0.000
Ca 0.000 0.000 0.291
Ca 0.000 0.500 0.500
Ca 0.000 0.500 0.791
Ca 0.500 0.000 0.145
Ca 0.500 0.000 0.477
Ca 0.500 0.000 0.812
Ca 0.500 0.500 0.312
Ca 0.500 0.500 0.645
Ca 0.500 0.500 0.977
Hg 0.000 0.000 0.646
Hg 0.000 0.500 0.146

Calculated values
Crystal system: orthorhombic
Space group: Amm2

Run two
Entry from Alexandria: crystalline Ca5Hg at its relaxed geometry (PBE).

Cell lengths 3.835, 3.835, 15.159 Å; angles 90.00, 90.00, 90.00 degrees
Fractional coordinates of all 6 atoms:
Ca 0.000 0.000 0.000
Ca 0.000 0.000 0.380
Ca 0.000 0.000 0.620
Ca 0.500 0.500 0.188
Ca 0.500 0.500 0.812
Hg 0.500 0.500 0.500

Calculated values
Crystal system: tetragonal
Space group: P4/mmm

Stability, highest: run two

Run one
Entry from Alexandria: crystalline Ca5Hg at its relaxed geometry (PBE).

Cell lengths 13.229, 4.020, 8.892 Å; angles 90.00, 110.19, 90.00 degrees
Fractional coordinates of all 12 atoms:
Ca 0.000 0.000 0.000
Ca 0.034 0.000 0.430
Ca 0.169 0.500 0.795
Ca 0.303 0.000 0.160
Ca 0.337 0.000 0.590
Ca 0.500 0.500 0.000
Ca 0.534 0.500 0.430
Ca 0.669 0.000 0.795
Ca 0.803 0.500 0.160
Ca 0.837 0.500 0.590
Hg 0.168 0.500 0.294
Hg 0.668 0.000 0.294

Calculated values
Crystal system: monoclinic
Space group: Cm

Run two
Entry from Alexandria: crystalline Ca5Hg at its relaxed geometry (PBE).

Cell lengths 6.456, 6.456, 5.969 Å; angles 90.00, 90.00, 120.00 degrees
Fractional coordinates of all 6 atoms:
Ca 0.000 0.685 0.000
Ca 0.315 0.315 0.000
Ca 0.333 0.667 0.500
Ca 0.667 0.333 0.500
Ca 0.685 0.000 0.000
Hg 0.000 0.000 0.500

Calculated values
Crystal system: hexagonal
Space group: P-62m

Run three
Entry from Alexandria: crystalline Ca5Hg at its relaxed geometry (PBE).

Cell lengths 6.996, 6.996, 6.466 Å; angles 90.00, 90.00, 120.00 degrees
Fractional coordinates of all 6 atoms:
Ca 0.000 0.500 0.000
Ca 0.333 0.667 0.500
Ca 0.500 0.000 0.000
Ca 0.500 0.500 0.000
Ca 0.667 0.333 0.500
Hg 0.000 0.000 0.500

Calculated values
Crystal system: hexagonal
Space group: P6/mmm

Stability, highest: run one

Run one
Entry from Alexandria: crystalline Ca3Hg5 at its relaxed geometry (PBE).

Cell lengths 7.892, 10.378, 5.210 Å; angles 90.00, 90.00, 90.00 degrees
Fractional coordinates of all 16 atoms:
Ca 0.000 0.000 0.000
Ca 0.000 0.284 0.500
Ca 0.000 0.716 0.500
Ca 0.500 0.216 0.500
Ca 0.500 0.500 0.000
Ca 0.500 0.784 0.500
Hg 0.000 0.500 0.000
Hg 0.215 0.000 0.500
Hg 0.250 0.250 0.000
Hg 0.250 0.750 0.000
Hg 0.285 0.500 0.500
Hg 0.500 0.000 0.000
Hg 0.715 0.500 0.500
Hg 0.750 0.250 0.000
Hg 0.750 0.750 0.000
Hg 0.785 0.000 0.500

Calculated values
Crystal system: orthorhombic
Space group: Cmmm

Run two
Entry from Alexandria: crystalline Ca3Hg5 at its relaxed geometry (PBE).

Cell lengths 6.508, 6.508, 10.487 Å; angles 90.00, 90.00, 75.53 degrees
Fractional coordinates of all 16 atoms:
Ca 0.100 0.900 0.750
Ca 0.293 0.293 0.000
Ca 0.293 0.293 0.500
Ca 0.707 0.707 0.000
Ca 0.707 0.707 0.500
Ca 0.900 0.100 0.250
Hg 0.008 0.556 0.250
Hg 0.196 0.804 0.040
Hg 0.196 0.804 0.460
Hg 0.444 0.992 0.250
Hg 0.490 0.510 0.750
Hg 0.510 0.490 0.250
Hg 0.556 0.008 0.750
Hg 0.804 0.196 0.540
Hg 0.804 0.196 0.960
Hg 0.992 0.444 0.750

Calculated values
Crystal system: orthorhombic
Space group: Cmcm

Stability, highest: run two

Run one
Entry from Alexandria: crystalline Ca5Hg2 at its relaxed geometry (PBE).

Cell lengths 9.690, 9.690, 9.690 Å; angles 131.49, 66.44, 137.50 degrees
Fractional coordinates of all 14 atoms:
Ca 0.022 0.250 0.772
Ca 0.084 0.646 0.729
Ca 0.250 0.250 0.000
Ca 0.416 0.146 0.562
Ca 0.478 0.250 0.228
Ca 0.522 0.750 0.772
Ca 0.584 0.854 0.438
Ca 0.750 0.750 0.000
Ca 0.916 0.354 0.271
Ca 0.978 0.750 0.228
Hg 0.121 0.258 0.379
Hg 0.379 0.758 0.137
Hg 0.621 0.242 0.863
Hg 0.879 0.742 0.621

Calculated values
Crystal system: orthorhombic
Space group: Ibam

Run two
Entry from Alexandria: crystalline Ca5Hg2 at its relaxed geometry (PBE).

Cell lengths 9.393, 9.393, 8.036 Å; angles 97.04, 97.04, 43.75 degrees
Fractional coordinates of all 14 atoms:
Ca 0.087 0.913 0.750
Ca 0.134 0.307 0.311
Ca 0.294 0.525 0.075
Ca 0.307 0.134 0.811
Ca 0.475 0.706 0.425
Ca 0.525 0.294 0.575
Ca 0.693 0.866 0.189
Ca 0.706 0.475 0.925
Ca 0.866 0.693 0.689
Ca 0.913 0.087 0.250
Hg 0.091 0.689 0.421
Hg 0.311 0.909 0.079
Hg 0.689 0.091 0.921
Hg 0.909 0.311 0.579

Calculated values
Crystal system: monoclinic
Space group: C2/c

Stability, highest: run two